Below is a relaxed KRbCa2Pt crystal, with properties calculated at the PBE level.

Its formation enthalpy at 0 K is -232 meV/atom.

Cell lengths 5.680, 5.680, 6.757 Å; angles 90.00, 90.00, 90.00 degrees
Element x y z (fractional)
K: 0.000 0.000 0.000
Rb: 0.500 0.500 0.000
Ca: 0.000 0.500 0.500
Ca: 0.500 0.000 0.500
Pt: 0.000 0.000 0.500